Here is a PBEsol-optimized structure of TiZn2RuS from Alexandria via LeMat-Bulk. Energies are from meta-GGA SCAN.

a b c (Å): 4.7303 4.7303 4.2849
angles (deg): 90.00 90.00 90.00
Last column: nearest neighbours and their distance in Å.
Fractional positions:
Ti (0.0000, 0.0000, 0.0000)  8 Zn 3.19, 4 S 3.34
Zn (0.0000, 0.5000, 0.5000)  2 Ru 2.37
Zn (0.5000, 0.0000, 0.5000)  2 Ru 2.37
Ru (0.5000, 0.5000, 0.5000)  2 S 2.14, 4 Zn 2.37
S (0.5000, 0.5000, 0.0000)  2 Ru 2.14

Values from the calculation:
As for the volume: 95.88 Å³/cell. For the uncorrected formation energy, the calculation gives 2.147 eV per formula unit. For the spin magnetization, the calculation gives 3.1 μB/cell.



Here is a PBEsol-optimized structure of K2PdC2 from Alexandria via LeMat-Bulk. Energies are from meta-GGA SCAN.

a b c (Å): 5.0907 5.0907 5.2275
angles (deg): 90.00 90.00 120.00
Last column: nearest neighbours and their distance in Å.
Fractional positions:
K (0.3333, 0.6667, 0.2206)  3 C 2.98, 3 Pd 3.28
K (0.6667, 0.3333, 0.7794)  3 C 2.98, 3 Pd 3.28
Pd (0.0000, 0.0000, 0.5000)  2 C 1.98
C (0.0000, 0.0000, 0.1217)  1 C 1.27
C (0.0000, 0.0000, 0.8783)  1 C 1.27

Values from the calculation:
The value obtained for the formation energy is -0.34 eV/f.u. As for the volume: 117.32 Å³/cell. For the spin magnetization, the calculation gives 0.0 μB/cell.



Here is a PBEsol-optimized structure of RbIn2Pt2 from Alexandria via LeMat-Bulk. Energies are from meta-GGA SCAN.

a b c (Å): 6.4195 6.4195 6.4195
angles (deg): 137.68 137.68 61.39
Last column: nearest neighbours and their distance in Å.
Fractional positions:
Rb (0.0000, 0.0000, 0.0000)  8 Pt 3.53, 8 In 3.60
In (0.2500, 0.7500, 0.5000)  4 Pt 2.73
In (0.7500, 0.2500, 0.5000)  4 Pt 2.73
Pt (0.3814, 0.3814, 0.0000)  1 Pt 2.62, 4 In 2.73
Pt (0.6186, 0.6186, 0.0000)  1 Pt 2.62, 4 In 2.73

Values from the calculation:
The value obtained for the formation energy is -2.09 eV/f.u. As for the volume: 118.57 Å³/cell. For the spin magnetization, the calculation gives 0.0 μB/cell.



Here is a PBEsol-optimized structure of Ca2Tl2Ag from Alexandria via LeMat-Bulk. Energies are from meta-GGA SCAN.

a b c (Å): 7.6887 7.6887 7.6887
angles (deg): 145.33 145.33 49.85
Last column: nearest neighbours and their distance in Å.
Fractional positions:
Ca (0.2500, 0.7500, 0.5000)  4 Tl 3.13, 4 Ca 3.24
Ca (0.7500, 0.2500, 0.5000)  4 Tl 3.13, 4 Ca 3.24
Tl (0.0970, 0.0970, 0.0000)  1 Tl 2.71
Tl (0.9030, 0.9030, 0.0000)  1 Tl 2.71
Ag (0.5000, 0.5000, 0.0000)  8 Tl 3.51

Values from the calculation:
The value obtained for the formation energy is 0.71 eV/f.u. As for the volume: 146.41 Å³/cell. The energy relative to the lowest polymorph listed for this composition comes out at 240 meV/atom. For the spin magnetization, the calculation gives 0.0 μB/cell.



Here is a PBEsol-optimized structure of La2MgZn from Alexandria via LeMat-Bulk. Energies are from meta-GGA SCAN.

a b c (Å): 5.3594 5.3594 5.3594
angles (deg): 60.00 60.00 60.00
Last column: nearest neighbours and their distance in Å.
Fractional positions:
La (0.2500, 0.2500, 0.2500)  4 Mg 3.28, 4 Zn 3.28
La (0.7500, 0.7500, 0.7500)  4 Mg 3.28, 4 Zn 3.28
Mg (0.0000, 0.0000, 0.0000)  8 La 3.28
Zn (0.5000, 0.5000, 0.5000)  8 La 3.28

Values from the calculation:
The value obtained for the formation energy is -0.84 eV/f.u. As for the volume: 108.85 Å³/cell. The energy relative to the lowest polymorph listed for this composition comes out at 49 meV/atom. For the spin magnetization, the calculation gives 0.0 μB/cell.



Here is a PBEsol-optimized structure of Ca4Mg4Fe3H22 from Alexandria via LeMat-Bulk. Energies are from meta-GGA SCAN.

a b c (Å): 6.5903 6.5903 6.5903
angles (deg): 90.00 90.00 90.00
Last column: nearest neighbours and their distance in Å.
Fractional positions:
Ca (0.2088, 0.2088, 0.2088)  9 H 2.33-2.39
Ca (0.2088, 0.7912, 0.7912)  9 H 2.33-2.39
Ca (0.7912, 0.2088, 0.7912)  9 H 2.33-2.39
Ca (0.7912, 0.7912, 0.2088)  9 H 2.33-2.39
Mg (0.2865, 0.2865, 0.7135)  4 H 1.85-2.02
Mg (0.2865, 0.7135, 0.2865)  4 H 1.85-2.02
Mg (0.7135, 0.2865, 0.2865)  4 H 1.85-2.02
Mg (0.7135, 0.7135, 0.7135)  4 H 1.85-2.02
Fe (0.0000, 0.5000, 0.5000)  6 H 1.56-1.57
Fe (0.5000, 0.0000, 0.5000)  6 H 1.56-1.57
Fe (0.5000, 0.5000, 0.0000)  6 H 1.56-1.57
H (0.0000, 0.2620, 0.5000)  1 Fe 1.57
H (0.0000, 0.5000, 0.2620)  1 Fe 1.57
H (0.0000, 0.5000, 0.7380)  1 Fe 1.57
H (0.0000, 0.7380, 0.5000)  1 Fe 1.57
H (0.1244, 0.1244, 0.8756)  1 Mg 1.85
H (0.1244, 0.8756, 0.1244)  1 Mg 1.85
H (0.2373, 0.5000, 0.5000)  1 Fe 1.56
H (0.2620, 0.0000, 0.5000)  1 Fe 1.57
H (0.2620, 0.5000, 0.0000)  1 Fe 1.57
H (0.5000, 0.0000, 0.2620)  1 Fe 1.57
H (0.5000, 0.0000, 0.7380)  1 Fe 1.57
H (0.5000, 0.2373, 0.5000)  1 Fe 1.56
H (0.5000, 0.2620, 0.0000)  1 Fe 1.57
H (0.5000, 0.5000, 0.2373)  1 Fe 1.56
H (0.5000, 0.5000, 0.7627)  1 Fe 1.56
H (0.5000, 0.7380, 0.0000)  1 Fe 1.57
H (0.5000, 0.7627, 0.5000)  1 Fe 1.56
H (0.7380, 0.0000, 0.5000)  1 Fe 1.57
H (0.7380, 0.5000, 0.0000)  1 Fe 1.57
H (0.7627, 0.5000, 0.5000)  1 Fe 1.56
H (0.8756, 0.1244, 0.1244)  1 Mg 1.85
H (0.8756, 0.8756, 0.8756)  1 Mg 1.85

Values from the calculation:
As for the volume: 286.22 Å³/cell. The total energy is -205.751 eV for the cell shown. For the spin magnetization, the calculation gives 0.3 μB/cell.



Here is a PBEsol-optimized structure of TlAsCl from Alexandria via LeMat-Bulk. Energies are from meta-GGA SCAN.

a b c (Å): 3.2981 3.2981 7.1417
angles (deg): 90.00 90.00 120.00
Last column: nearest neighbours and their distance in Å.
Fractional positions:
Tl (0.0000, 0.0000, 0.0000)  3 Cl 3.16, 3 As 3.20, 6 Tl 3.30
As (0.3333, 0.6667, 0.6392)  3 Cl 2.79
Cl (0.6667, 0.3333, 0.3530)  3 As 2.79

Values from the calculation:
As for the volume: 67.28 Å³/cell. The energy relative to the lowest polymorph listed for this composition comes out at 251 meV/atom. For the uncorrected formation energy, the calculation gives 0.404 eV per formula unit. For the spin magnetization, the calculation gives 0.0 μB/cell.



Here is a PBEsol-optimized structure of Nb2CrSi2 from Alexandria via LeMat-Bulk. Energies are from meta-GGA SCAN.

a b c (Å): 6.3782 6.3782 3.5645
angles (deg): 90.00 90.00 90.00
Last column: nearest neighbours and their distance in Å.
Fractional positions:
Nb (0.1709, 0.3291, 0.0000)  6 Si 2.51-2.64
Nb (0.3291, 0.8291, 0.0000)  6 Si 2.51-2.64
Nb (0.6709, 0.1709, 0.0000)  6 Si 2.51-2.64
Nb (0.8291, 0.6709, 0.0000)  6 Si 2.51-2.64
Cr (0.0000, 0.0000, 0.5000)  4 Si 2.49
Cr (0.5000, 0.5000, 0.5000)  4 Si 2.49
Si (0.1329, 0.6329, 0.5000)  1 Si 2.40, 2 Cr 2.49, 6 Nb 2.51-2.64
Si (0.3671, 0.1329, 0.5000)  1 Si 2.40, 2 Cr 2.49, 6 Nb 2.51-2.64
Si (0.6329, 0.8671, 0.5000)  1 Si 2.40, 2 Cr 2.49, 6 Nb 2.51-2.64
Si (0.8671, 0.3671, 0.5000)  1 Si 2.40, 2 Cr 2.49, 6 Nb 2.51-2.64

Values from the calculation:
As for the volume: 145.01 Å³/cell. For the uncorrected formation energy, the calculation gives -2.698 eV per formula unit. For the spin magnetization, the calculation gives 4.6 μB/cell.



Question: What is the spin magnetization in the second record?
Answer: 0.0 μB/cell